(1)
Computed, not measured: Mg2TlZn after structural relaxation at the PBE-GGA level of DFT.

Cell lengths 6.4180, 6.4180, 6.4180 Å; angles 102.74, 102.74, 123.99 degrees
Last column: nearest neighbours and their distance in Å.
Positions (direct):
Mg (0.0944, 0.6250, 0.9694)  2 Zn 2.77, 2 Mg 3.05
Mg (0.3750, 0.3444, 0.4694)  2 Zn 2.77, 2 Mg 3.05
Mg (0.6556, 0.1250, 0.0306)  2 Zn 2.77, 2 Mg 3.05
Mg (0.8750, 0.9056, 0.5306)  2 Zn 2.77, 2 Mg 3.05
Tl (0.2500, 0.7500, 0.5000)  2 Zn 3.01, 4 Mg 3.10
Tl (0.5000, 0.5000, 0.0000)  2 Zn 3.01, 4 Mg 3.10
Zn (0.0000, 0.0000, 0.0000)  4 Mg 2.77, 2 Tl 3.01
Zn (0.7500, 0.2500, 0.5000)  4 Mg 2.77, 2 Tl 3.01

Its raw total energy is -0.058 hartree per atom.

---

(2)
Computed, not measured: Mg3TlZn after structural relaxation at the PBE-GGA level of DFT.

Cell lengths 5.6866, 5.6866, 9.3657 Å; angles 96.12, 96.12, 46.76 degrees
Last column: nearest neighbours and their distance in Å.
Positions (direct):
Mg (0.0426, 0.0426, 0.3382)  1 Zn 2.83
Mg (0.2708, 0.2708, 0.7905)  3 Zn 2.82-3.11
Mg (0.4178, 0.4178, 0.1210)  3 Zn 2.82-3.08, 1 Mg 3.00, 1 Tl 3.07
Mg (0.5822, 0.5822, 0.8790)  3 Zn 2.82-3.08, 1 Mg 3.00, 1 Tl 3.07
Mg (0.7292, 0.7292, 0.2095)  3 Zn 2.82-3.11
Mg (0.9574, 0.9574, 0.6618)  1 Zn 2.83
Tl (0.3476, 0.3476, 0.4304)  8 Mg 3.07-3.24, 3 Tl 3.30-3.40
Tl (0.6524, 0.6524, 0.5696)  8 Mg 3.07-3.24, 3 Tl 3.30-3.40
Zn (0.1215, 0.1215, 0.0591)  1 Zn 2.65, 5 Mg 2.82-2.83
Zn (0.8785, 0.8785, 0.9409)  1 Zn 2.65, 5 Mg 2.82-2.83

Its energy relative to the lowest polymorph listed for this composition is 0.0 meV per atom. Its raw total energy is -0.063 hartree per atom.

---

(3)
Computed, not measured: MgTl2Zn after structural relaxation at the PBE-GGA level of DFT.

Cell lengths 3.5215, 3.5215, 7.8620 Å; angles 90.00, 90.00, 90.00 degrees
Last column: nearest neighbours and their distance in Å.
Positions (direct):
Mg (0.0000, 0.0000, 0.0000)  8 Tl 3.24, 4 Mg 3.52
Tl (0.5000, 0.5000, 0.2627)  4 Zn 3.11, 4 Mg 3.24
Tl (0.5000, 0.5000, 0.7373)  4 Zn 3.11, 4 Mg 3.24
Zn (0.0000, 0.0000, 0.5000)  8 Tl 3.11

Its energy relative to the lowest polymorph listed for this composition is 50.1 meV per atom. Its raw total energy is -0.066 hartree per atom.

---

(4)
Computed, not measured: MgTl2Zn after structural relaxation at the PBE-GGA level of DFT.

Cell lengths 6.3281, 6.3281, 4.9163 Å; angles 112.01, 112.01, 32.99 degrees
Last column: nearest neighbours and their distance in Å.
Positions (direct):
Mg (0.0000, 0.0000, 0.0000)  2 Zn 2.95, 4 Tl 3.11
Tl (0.5569, 0.5569, 0.5553)  4 Mg 3.11, 2 Zn 3.17
Tl (0.7812, 0.7812, 0.2712)  4 Zn 3.04-3.05
Zn (0.2910, 0.2910, 0.7790)  2 Mg 2.95, 6 Tl 3.04-3.17

Its energy relative to the lowest polymorph listed for this composition is 16.4 meV per atom. Its raw total energy is -0.068 hartree per atom.

---

(5)
Computed, not measured: Mg2TlZn after structural relaxation at the PBE-GGA level of DFT.

Cell lengths 4.2500, 4.4549, 4.5050 Å; angles 90.00, 90.00, 90.00 degrees
Last column: nearest neighbours and their distance in Å.
Positions (direct):
Mg (0.0000, 0.0000, 0.0000)  4 Zn 3.08, 4 Tl 3.10, 4 Mg 3.17
Mg (0.0000, 0.5000, 0.5000)  4 Tl 3.08, 4 Zn 3.10, 4 Mg 3.17
Tl (0.5000, 0.0000, 0.5000)  8 Mg 3.08-3.10, 4 Zn 3.17
Zn (0.5000, 0.5000, 0.0000)  8 Mg 3.08-3.10, 4 Tl 3.17

Its raw total energy is -0.063 hartree per atom.

---

(6)
Computed, not measured: Mg2TlZn after structural relaxation at the PBE-GGA level of DFT.

Cell lengths 9.3440, 9.3440, 9.3440 Å; angles 20.79, 20.79, 20.79 degrees
Last column: nearest neighbours and their distance in Å.
Positions (direct):
Mg (0.2407, 0.2407, 0.2407)  3 Zn 2.81
Mg (0.7593, 0.7593, 0.7593)  3 Zn 2.81
Tl (0.0000, 0.0000, 0.0000)  6 Mg 3.20, 6 Tl 3.37
Zn (0.5000, 0.5000, 0.5000)  6 Mg 2.81

Its raw total energy is -0.063 hartree per atom.

---

(7)
Computed, not measured: MgTl2Zn after structural relaxation at the PBE-GGA level of DFT.

Cell lengths 7.4484, 7.4484, 7.4484 Å; angles 32.53, 32.53, 32.53 degrees
Last column: nearest neighbours and their distance in Å.
Positions (direct):
Mg (0.0000, 0.0000, 0.0000)  6 Tl 3.09
Tl (0.2419, 0.2419, 0.2419)  3 Zn 2.88, 3 Mg 3.09
Tl (0.4251, 0.4251, 0.4251)  3 Zn 2.89, 3 Mg 3.09
Zn (0.8337, 0.8337, 0.8337)  6 Tl 2.88-2.89

Its energy relative to the lowest polymorph listed for this composition is 106.5 meV per atom. Its raw total energy is -0.064 hartree per atom.

---

(8)
Computed, not measured: Mg5Tl4Zn after structural relaxation at the PBE-GGA level of DFT.

Cell lengths 3.5350, 3.5350, 18.8197 Å; angles 90.00, 90.00, 90.00 degrees
Last column: nearest neighbours and their distance in Å.
Positions (direct):
Mg (0.0000, 0.0000, 0.0000)  8 Tl 3.19, 4 Mg 3.53
Mg (0.0000, 0.0000, 0.2112)  8 Tl 3.17-3.20, 4 Mg 3.53
Mg (0.0000, 0.0000, 0.4177)  4 Zn 2.94, 1 Mg 3.10, 4 Tl 3.16
Mg (0.0000, 0.0000, 0.5823)  4 Zn 2.94, 1 Mg 3.10, 4 Tl 3.16
Mg (0.0000, 0.0000, 0.7888)  8 Tl 3.17-3.20, 4 Mg 3.53
Tl (0.5000, 0.5000, 0.1051)  8 Mg 3.19-3.20, 4 Tl 3.53
Tl (0.5000, 0.5000, 0.3147)  8 Mg 3.16-3.17, 1 Zn 3.49, 4 Tl 3.53
Tl (0.5000, 0.5000, 0.6853)  8 Mg 3.16-3.17, 1 Zn 3.49, 4 Tl 3.53
Tl (0.5000, 0.5000, 0.8949)  8 Mg 3.19-3.20, 4 Tl 3.53
Zn (0.5000, 0.5000, 0.5000)  8 Mg 2.94

Its raw total energy is -0.070 hartree per atom.

---

(9)
Computed, not measured: Mg3TlZn after structural relaxation at the PBE-GGA level of DFT.

Cell lengths 5.0627, 5.0627, 5.0627 Å; angles 90.00, 90.00, 90.00 degrees
Last column: nearest neighbours and their distance in Å.
Positions (direct):
Mg (0.0000, 0.0000, 0.5000)  2 Zn 2.53
Mg (0.0000, 0.5000, 0.0000)  2 Zn 2.53
Mg (0.5000, 0.0000, 0.0000)  2 Zn 2.53
Tl (0.5000, 0.5000, 0.5000)  12 Mg 3.58
Zn (0.0000, 0.0000, 0.0000)  6 Mg 2.53

Its energy relative to the lowest polymorph listed for this composition is 157.6 meV per atom. Its raw total energy is -0.057 hartree per atom.

---

(10)
Computed, not measured: MgTl2Zn after structural relaxation at the PBE-GGA level of DFT.

Cell lengths 3.3385, 3.3385, 8.8863 Å; angles 90.00, 90.00, 90.00 degrees
Last column: nearest neighbours and their distance in Å.
Positions (direct):
Mg (0.0000, 0.0000, 0.0000)  4 Zn 2.88
Tl (0.0000, 0.0000, 0.5759)  4 Zn 3.18, 4 Tl 3.34
Tl (0.5000, 0.5000, 0.2596)  4 Mg 3.30, 8 Tl 3.34-3.67
Zn (0.5000, 0.5000, 0.8152)  4 Mg 2.88, 4 Tl 3.18

Its energy relative to the lowest polymorph listed for this composition is 0.0 meV per atom. Its raw total energy is -0.068 hartree per atom.

---

(11)
Computed, not measured: Mg6TlZn after structural relaxation at the PBE-GGA level of DFT.

Cell lengths 4.4328, 4.4328, 8.8330 Å; angles 90.00, 90.00, 90.00 degrees
Last column: nearest neighbours and their distance in Å.
Positions (direct):
Mg (0.0000, 0.0000, 0.0000)  8 Mg 3.04, 4 Zn 3.13
Mg (0.0000, 0.0000, 0.5000)  4 Tl 3.13, 8 Mg 3.22
Mg (0.0000, 0.5000, 0.2359)  2 Zn 3.04, 8 Mg 3.04-3.22, 2 Tl 3.22
Mg (0.0000, 0.5000, 0.7641)  8 Mg 3.04-3.22, 2 Zn 3.04, 2 Tl 3.22
Mg (0.5000, 0.0000, 0.2359)  2 Zn 3.04, 8 Mg 3.04-3.22, 2 Tl 3.22
Mg (0.5000, 0.0000, 0.7641)  8 Mg 3.04-3.22, 2 Zn 3.04, 2 Tl 3.22
Tl (0.5000, 0.5000, 0.5000)  12 Mg 3.13-3.22
Zn (0.5000, 0.5000, 0.0000)  12 Mg 3.04-3.13

Its raw total energy is -0.062 hartree per atom.

---

(12)
Computed, not measured: Mg2TlZn after structural relaxation at the PBE-GGA level of DFT.

Cell lengths 5.5719, 5.5719, 5.5719 Å; angles 134.33, 134.33, 66.57 degrees
Last column: nearest neighbours and their distance in Å.
Positions (direct):
Mg (0.0000, 0.0000, 0.0000)  4 Zn 3.06, 4 Tl 3.18, 4 Mg 3.18
Mg (0.7500, 0.2500, 0.5000)  4 Tl 3.06, 4 Zn 3.18, 4 Mg 3.18
Tl (0.2500, 0.7500, 0.5000)  8 Mg 3.06-3.18, 4 Zn 3.18
Zn (0.5000, 0.5000, 0.0000)  8 Mg 3.06-3.18, 4 Tl 3.18

Its raw total energy is -0.062 hartree per atom.